Record 1
## Ho2CuAgSb4 (PBE)

Data for a geometry-optimized Ho2CuAgSb4 structure.

Its crystal system is tetragonal. For the magnetic moment, the calculation gives 0.00 μB per formula unit. As for the raw total energy: -4.60 eV per atom.

a b c (Å): 4.3230 4.3230 10.0704
angles (deg): 90.00 90.00 90.00
Fractional coordinates of all 8 atoms:
Ho 0.0000 0.5000 0.2424
Ho 0.5000 0.0000 0.7576
Cu 0.0000 0.0000 0.5000
Ag 0.5000 0.5000 0.5000
Sb 0.0000 0.0000 0.0000
Sb 0.0000 0.5000 0.6774
Sb 0.5000 0.0000 0.3226
Sb 0.5000 0.5000 0.0000

---

Record 2
## Ho2CuAgSn2 (PBE)

Data for a geometry-optimized Ho2CuAgSn2 structure.

Its crystal system is trigonal. For the magnetic moment, the calculation gives 0.00 μB per formula unit. As for the raw total energy: -4.53 eV per atom.

a b c (Å): 4.6359 4.6359 7.2985
angles (deg): 90.00 90.00 120.00
Fractional coordinates of all 6 atoms:
Ho 0.0000 0.0000 0.0000
Ho 0.0000 0.0000 0.4927
Cu 0.6667 0.3333 0.3156
Ag 0.3333 0.6667 0.8120
Sn 0.3333 0.6667 0.2288
Sn 0.6667 0.3333 0.7126

---

Record 3
## HoTm2Zn3CuAg2 (PBE)

Data for a geometry-optimized HoTm2Zn3CuAg2 structure.

Its crystal system is orthorhombic. For the magnetic moment, the calculation gives 0.02 μB per formula unit. The formation energy is -2.9 eV per formula unit.

a b c (Å): 3.9601 7.2222 7.2222
angles (deg): 120.07 90.00 90.00
Fractional coordinates of all 9 atoms:
Ho 0.0000 0.0000 0.0000
Tm 0.0000 0.1956 0.5973
Tm 0.0000 0.5973 0.1956
Zn 0.5000 0.3627 0.3627
Zn 0.5000 0.5968 0.8315
Zn 0.5000 0.8315 0.5968
Cu 0.0000 0.5957 0.5957
Ag 0.5000 0.2658 0.9300
Ag 0.5000 0.9300 0.2658

---

Record 4
## CuAg2I4 (PBE)

Data for a geometry-optimized CuAg2I4 structure.

Its crystal system is tetragonal. As for the raw total energy: -2.42 eV per atom.

a b c (Å): 7.7013 7.7013 7.7013
angles (deg): 132.10 132.10 70.07
Fractional coordinates of all 7 atoms:
Cu 0.0000 0.0000 0.0000
Ag 0.2500 0.7500 0.5000
Ag 0.5000 0.5000 0.0000
I 0.0953 0.1239 0.4682
I 0.3729 0.9047 0.0286
I 0.6557 0.6271 0.5318
I 0.8761 0.3443 0.9714

---

Record 5
## CuAgI2 (PBE)

Data for a geometry-optimized CuAgI2 structure.

Its crystal system is trigonal. The distance to the lowest polymorph of the same formula comes out at 10.4 meV per atom.

a b c (Å): 4.4464 4.4464 7.4269
angles (deg): 90.00 90.00 120.00
Fractional coordinates of all 4 atoms:
Cu 0.0000 0.0000 0.0000
Ag 0.6667 0.3333 0.4821
I 0.0000 0.0000 0.6461
I 0.6667 0.3333 0.1029

---

Record 6
## CuAgI2 (PBE)

Data for a geometry-optimized CuAgI2 structure.

Its crystal system is tetragonal. The distance to the lowest polymorph of the same formula comes out at 0.0 meV per atom.

a b c (Å): 4.4581 4.4581 6.3932
angles (deg): 90.00 90.00 90.00
Fractional coordinates of all 4 atoms:
Cu 0.0000 0.0000 0.0000
Ag 0.5000 0.5000 0.5000
I 0.0000 0.5000 0.2232
I 0.5000 0.0000 0.7768

---

> Number 1 is which compound?

Ho2CuAgSb4